# Li2MoP | Alexandria | meta-GGA SCAN | single point on PBEsol structure
data_Li2MoP
_symmetry_space_group_name_H-M 'P 1'
_symmetry_Int_Tables_number 1
_cell_length_a 3.1219
_cell_length_b 3.3670
_cell_length_c 5.6350
_cell_angle_alpha 90.00
_cell_angle_beta 106.08
_cell_angle_gamma 90.00
loop_
_symmetry_equiv_pos_as_xyz
'x,y,z'
loop_
_atom_site_label
_atom_site_fract_x
_atom_site_fract_y
_atom_site_fract_z
Mo1 0.9105 0.0000 0.8209
Li1 0.5677 0.5000 0.1355
Li2 0.1807 0.0000 0.3614
P1 0.3383 0.5000 0.6766
# Mass density: 4108 kg/m³
# Space-group type: No. 38
# Formation enthalpy at 0 K: -0.184 eV per atom

---

# LiMo4P | Alexandria | meta-GGA SCAN | single point on PBEsol structure
data_LiMo4P
_symmetry_space_group_name_H-M 'P 1'
_symmetry_Int_Tables_number 1
_cell_length_a 5.1266
_cell_length_b 5.1266
_cell_length_c 5.1266
_cell_angle_alpha 60.00
_cell_angle_beta 60.00
_cell_angle_gamma 60.00
loop_
_symmetry_equiv_pos_as_xyz
'x,y,z'
loop_
_atom_site_label
_atom_site_fract_x
_atom_site_fract_y
_atom_site_fract_z
Mo1 0.3737 0.3737 0.8788
P1 0.7500 0.7500 0.7500
Mo2 0.3737 0.8788 0.3737
Mo3 0.3737 0.3737 0.3737
Li1 0.0000 0.0000 0.0000
Mo4 0.8788 0.3737 0.3737
# Mass density: 7349 kg/m³
# Space-group type: No. 216
# Formation enthalpy at 0 K: 0.708 eV per atom

---

# LiMoP2 | Alexandria | meta-GGA SCAN | single point on PBEsol structure
data_LiMoP2
_symmetry_space_group_name_H-M 'P 1'
_symmetry_Int_Tables_number 1
_cell_length_a 3.1423
_cell_length_b 4.0040
_cell_length_c 4.5926
_cell_angle_alpha 90.00
_cell_angle_beta 110.01
_cell_angle_gamma 90.00
loop_
_symmetry_equiv_pos_as_xyz
'x,y,z'
loop_
_atom_site_label
_atom_site_fract_x
_atom_site_fract_y
_atom_site_fract_z
Li1 0.1129 0.0000 0.2258
P1 0.8381 0.0000 0.6763
Mo1 0.3760 0.5000 0.7520
P2 0.6622 0.5000 0.3244
# Mass density: 5041 kg/m³
# Energy relative to the lowest polymorph listed for this composition: 0 meV per atom
# Space-group type: No. 38
# Formation enthalpy at 0 K: -0.268 eV per atom

---

# Li2Mo2Pb | Alexandria | meta-GGA SCAN | single point on PBEsol structure
data_Li2Mo2Pb
_symmetry_space_group_name_H-M 'P 1'
_symmetry_Int_Tables_number 1
_cell_length_a 3.7034
_cell_length_b 3.7034
_cell_length_c 7.3520
_cell_angle_alpha 104.59
_cell_angle_beta 104.59
_cell_angle_gamma 90.00
loop_
_symmetry_equiv_pos_as_xyz
'x,y,z'
loop_
_atom_site_label
_atom_site_fract_x
_atom_site_fract_y
_atom_site_fract_z
Li1 0.7500 0.2500 0.5000
Li2 0.2500 0.7500 0.5000
Pb1 0.0000 0.0000 0.0000
Mo1 0.4169 0.4169 0.8338
Mo2 0.5831 0.5831 0.1662
# Mass density: 7278 kg/m³
# Space-group type: No. 139
# Formation enthalpy at 0 K: 0.864 eV per atom

---

no.,total magnetic moment (μB/atom)
1,0.000
2,0.000
3,0.000
4,0.017